Entry 1:
NiAg2Te after structural relaxation. Source: Alexandria, functional PBE.

Computed properties:
Uncorrected formation energy   0.734 eV per formula unit
Crystal system   tetragonal
DOS at the Fermi energy   2.5 states/eV per cell

```
NiAg2Te
1.0
-4.413 -0.673 -3.095
-4.664 -1.339 2.441
3.917 3.711 0.624
Ag Ni Te
2 1 1
direct
0.000 0.000 0.000
0.500 0.500 0.000
0.250 0.750 0.500
0.750 0.250 0.500
```

Entry 2:
NiAgTe2 after structural relaxation. Source: Alexandria, functional PBE.

Computed properties:
Uncorrected formation energy   1.452 eV per formula unit
Crystal system   tetragonal
DOS at the Fermi energy   2.7 states/eV per cell

```
NiAgTe2
1.0
6.124 0.037 0.000
3.472 5.045 0.000
-4.798 -2.541 2.833
Ag Ni Te
1 1 2
direct
0.500 0.500 0.000
0.750 0.250 0.500
0.000 0.000 0.000
0.250 0.750 0.500
```

Entry 3:
NiAgTe2 after structural relaxation. Source: Alexandria, functional PBE.

Computed properties:
Uncorrected formation energy   0.914 eV per formula unit
Crystal system   monoclinic
DOS at the Fermi energy   3.0 states/eV per cell

```
NiAgTe2
1.0
4.906 -0.229 0.782
-1.074 4.793 0.782
1.252 1.491 4.533
Ag Ni Te
1 1 2
direct
0.500 0.000 0.500
0.000 0.500 0.500
0.000 0.000 0.000
0.500 0.500 0.000
```

Entry 4:
NiAg2Te after structural relaxation. Source: Alexandria, functional PBE.

Computed properties:
Uncorrected formation energy   1.512 eV per formula unit
Crystal system   trigonal
DOS at the Fermi energy   3.5 states/eV per cell

```
NiAg2Te
1.0
9.857 0.052 0.030
9.371 3.060 0.030
9.371 1.516 2.658
Ag Ni Te
2 1 1
direct
0.986 0.986 0.986
0.514 0.514 0.514
0.250 0.250 0.250
0.750 0.750 0.750
```

Entry 5:
NiAgTe2 after structural relaxation. Source: Alexandria, functional PBE.

Computed properties:
Uncorrected formation energy   1.442 eV per formula unit
Crystal system   orthorhombic
DOS at the Fermi energy   3.2 states/eV per cell

```
NiAgTe2
1.0
4.001 0.000 0.000
0.000 5.591 0.000
0.000 0.000 3.949
Ag Ni Te
1 1 2
direct
0.500 0.000 0.500
0.000 0.500 0.500
0.000 0.000 0.000
0.500 0.500 0.000
```

Entry 6:
NiAgTe2 after structural relaxation. Source: Alexandria, functional PBE.

Computed properties:
Uncorrected formation energy   0.341 eV per formula unit
Crystal system   monoclinic
DOS at the Fermi energy   2.4 states/eV per cell

```
NiAgTe2
1.0
-2.378 -2.841 1.573
3.668 0.131 5.782
0.542 2.362 5.085
Ag Ni Te
1 1 2
direct
0.500 0.500 0.500
0.000 0.000 0.500
0.000 0.000 0.000
0.500 0.500 0.000
```

Entry 7:
NiAg2Te after structural relaxation. Source: Alexandria, functional PBE.

Computed properties:
Uncorrected formation energy   0.986 eV per formula unit
Crystal system   cubic
DOS at the Fermi energy   2.3 states/eV per cell

```
NiAg2Te
1.0
-3.257 -3.380 -0.217
1.283 -4.451 -0.789
-0.317 -3.182 3.443
Ag Ni Te
2 1 1
direct
0.000 0.000 0.000
0.250 0.250 0.250
0.500 0.500 0.500
0.750 0.750 0.750
```

Entry 8:
NiAgTe2 after structural relaxation. Source: Alexandria, functional PBE.

Computed properties:
Uncorrected formation energy   1.036 eV per formula unit
Crystal system   orthorhombic
DOS at the Fermi energy   3.6 states/eV per cell

```
NiAgTe2
1.0
3.574 0.000 0.000
0.000 3.074 0.000
0.000 0.000 7.725
Ag Ni Te
1 1 2
direct
0.500 0.500 0.250
0.500 0.500 0.750
0.000 0.000 0.965
0.000 0.000 0.535
```

Entry 9:
NiAg2Te after structural relaxation. Source: Alexandria, functional PBE.

Computed properties:
Uncorrected formation energy   1.349 eV per formula unit
Crystal system   orthorhombic
DOS at the Fermi energy   2.3 states/eV per cell

```
NiAg2Te
1.0
5.222 -0.026 0.000
-2.369 4.654 0.000
0.000 0.000 3.096
Ag Ni Te
2 1 1
direct
0.000 0.000 0.000
0.500 0.500 0.000
0.500 0.000 0.500
0.000 0.500 0.500
```

Entry 10:
NiAgTe2 after structural relaxation. Source: Alexandria, functional PBE.

Computed properties:
Uncorrected formation energy   2.348 eV per formula unit
Crystal system   cubic
DOS at the Fermi energy   3.5 states/eV per cell

```
NiAgTe2
1.0
-4.333 0.051 -2.453
-0.066 -0.542 -4.950
-1.766 -4.194 -2.022
Ag Ni Te
1 1 2
direct
0.500 0.500 0.500
0.750 0.750 0.750
0.000 0.000 0.000
0.250 0.250 0.250
```

Entry 11:
NiAgTe2 after structural relaxation. Source: Alexandria, functional PBE.

Computed properties:
Uncorrected formation energy   0.404 eV per formula unit
Crystal system   orthorhombic
DOS at the Fermi energy   2.8 states/eV per cell

```
NiAgTe2
1.0
7.028 0.058 -0.024
4.989 4.951 0.024
-5.751 -3.122 2.565
Ag Ni Te
1 1 2
direct
0.562 0.562 0.000
0.780 0.280 0.500
0.938 0.938 0.000
0.221 0.721 0.500
```

Entry 12:
Ti2NiAg2Te6 after structural relaxation. Source: Alexandria, functional PBE.

Computed properties:
Uncorrected formation energy   -3.268 eV per formula unit
Crystal system   monoclinic
DOS at the Fermi energy   8.2 states/eV per cell

```
Ti2NiAg2Te6
1.0
-5.129 2.983 2.778
0.492 -6.500 0.655
5.677 2.285 4.822
Ti Ni Ag Te
2 1 2 6
direct
0.300 0.700 0.500
0.700 0.300 0.500
0.000 0.000 0.500
0.865 0.135 0.000
0.135 0.865 0.000
0.744 0.744 0.680
0.118 0.436 0.745
0.256 0.256 0.320
0.436 0.118 0.745
0.882 0.564 0.255
0.564 0.882 0.255
```

Entry 13:
NiAgTeW2 after structural relaxation. Source: Alexandria, functional PBE.

Computed properties:
Uncorrected formation energy   14.103 eV per formula unit
Crystal system   tetragonal
DOS at the Fermi energy   9.8 states/eV per cell

```
NiAgTeW2
1.0
4.855 0.000 0.000
0.000 5.177 0.000
0.000 0.000 4.855
Ni Te Ag W
1 1 1 2
direct
0.500 0.500 0.500
0.000 0.500 0.000
0.000 0.000 0.000
0.000 0.000 0.500
0.500 0.000 0.000
```

Entry 14:
ZnNi2AgTe after structural relaxation. Source: Alexandria, functional PBE.

Computed properties:
Uncorrected formation energy   4.409 eV per formula unit
Crystal system   tetragonal
DOS at the Fermi energy   4.7 states/eV per cell

```
ZnNi2AgTe
1.0
-0.745 -3.695 2.865
0.849 -2.915 -3.538
4.595 -0.044 1.139
Ni Zn Te Ag
2 1 1 1
direct
0.000 0.000 0.500
0.500 0.000 0.000
0.000 0.500 0.000
0.500 0.500 0.500
0.000 0.000 0.000
```

Entry 15:
Th2NiAg after structural relaxation. Source: Alexandria, functional PBE.

Computed properties:
Electronic total energy   -5.953 eV/atom
Crystal system   cubic
DOS at the Fermi energy   4.4 states/eV per cell

```
Th2NiAg
1.0
5.136 0.000 0.000
2.568 4.448 0.000
2.568 1.483 4.194
Ni Ag Th
1 1 2
direct
0.000 0.000 0.000
0.500 0.500 0.500
0.250 0.250 0.250
0.750 0.750 0.750
```

Entry 16:
Th2Ni9Ag after structural relaxation. Source: Alexandria, functional PBE.

Computed properties:
Electronic total energy   -6.012 eV/atom
Crystal system   trigonal
DOS at the Fermi energy   12.4 states/eV per cell

```
Th2Ni9Ag
1.0
-2.739 -3.931 1.375
1.683 -4.620 -0.820
3.278 -2.825 7.488
Th Ni Ag
2 9 1
direct
0.869 0.869 0.394
0.131 0.131 0.606
0.667 0.667 0.999
0.333 0.333 0.001
0.500 0.500 0.500
0.418 0.418 0.243
0.921 0.418 0.243
0.418 0.921 0.243
0.582 0.582 0.757
0.582 0.079 0.757
0.079 0.582 0.757
0.000 0.000 0.000
```

Entry 17:
Th4NiAg after structural relaxation. Source: Alexandria, functional PBE.

Computed properties:
Electronic total energy   -6.550 eV/atom
Crystal system   tetragonal
DOS at the Fermi energy   13.3 states/eV per cell

```
Th4NiAg
1.0
-3.718 -2.321 -3.892
-3.144 -3.953 5.360
-4.747 5.488 1.262
Th Ni Ag
8 2 2
direct
0.000 0.174 0.649
0.000 0.826 0.351
0.000 0.351 0.174
0.000 0.649 0.826
0.500 0.826 0.649
0.500 0.174 0.351
0.500 0.649 0.174
0.500 0.351 0.826
0.250 0.500 0.500
0.750 0.500 0.500
0.250 0.000 0.000
0.750 0.000 0.000
```

Entry 18:
Th2NiAg after structural relaxation. Source: Alexandria, functional PBE.

Computed properties:
Electronic total energy   -6.029 eV/atom
Crystal system   tetragonal
DOS at the Fermi energy   4.0 states/eV per cell

```
Th2NiAg
1.0
3.523 0.000 0.000
0.000 3.523 0.000
0.000 0.000 7.650
Ni Ag Th
1 1 2
direct
0.500 0.500 0.000
0.500 0.500 0.500
0.000 0.000 0.779
0.000 0.000 0.221
```

Entry 19:
ThNi4Ag after structural relaxation. Source: Alexandria, functional PBE.

Computed properties:
Electronic total energy   -5.901 eV/atom
Crystal system   cubic
DOS at the Fermi energy   8.4 states/eV per cell

```
ThNi4Ag
1.0
5.026 0.000 0.000
2.513 4.353 0.000
2.513 1.451 4.104
Ni Ag Th
4 1 1
direct
0.626 0.626 0.122
0.626 0.122 0.626
0.626 0.626 0.626
0.122 0.626 0.626
0.000 0.000 0.000
0.250 0.250 0.250
```

Entry 20:
Th2Ni2Ag after structural relaxation. Source: Alexandria, functional PBE.

Computed properties:
Electronic total energy   -6.258 eV/atom
Crystal system   tetragonal
DOS at the Fermi energy   7.5 states/eV per cell

```
Th2Ni2Ag
1.0
3.690 0.000 0.000
0.000 7.553 0.000
0.000 0.000 7.553
Th Ni Ag
4 4 2
direct
0.500 0.174 0.674
0.500 0.674 0.826
0.500 0.826 0.326
0.500 0.326 0.174
0.000 0.377 0.877
0.000 0.877 0.623
0.000 0.623 0.123
0.000 0.123 0.377
0.000 0.000 0.000
0.000 0.500 0.500
```

Entry 21:
Th2NiAg after structural relaxation. Source: Alexandria, functional PBE.

Computed properties:
Electronic total energy   -5.614 eV/atom
Crystal system   trigonal
DOS at the Fermi energy   4.6 states/eV per cell

```
Th2NiAg
1.0
-1.483 1.151 -3.091
-1.595 -2.359 -2.228
-9.613 1.015 2.874
Ni Ag Th
1 1 2
direct
0.500 0.500 0.500
0.000 0.000 0.000
0.105 0.105 0.684
0.895 0.895 0.316
```

Entry 22:
TmThNiAg after structural relaxation. Source: Alexandria, functional PBE.

Computed properties:
Electronic total energy   -5.330 eV/atom
Crystal system   cubic
DOS at the Fermi energy   4.6 states/eV per cell

```
TmThNiAg
1.0
-0.524 -2.593 -4.295
0.378 -5.029 0.028
-4.100 -2.841 -0.746
Ni Tm Ag Th
1 1 1 1
direct
0.750 0.750 0.750
0.500 0.500 0.500
0.250 0.250 0.250
0.000 0.000 0.000
```

Entry 23:
YThNiAg after structural relaxation. Source: Alexandria, functional PBE.

Computed properties:
Electronic total energy   -5.805 eV/atom
Crystal system   cubic
DOS at the Fermi energy   4.6 states/eV per cell

```
YThNiAg
1.0
-2.948 1.753 -3.746
-4.978 -1.010 0.001
-3.344 3.710 0.924
Y Ni Ag Th
1 1 1 1
direct
0.250 0.250 0.250
0.000 0.000 0.000
0.500 0.500 0.500
0.750 0.750 0.750
```

Entry 24:
ThZnNiAg after structural relaxation. Source: Alexandria, functional PBE.

Computed properties:
Electronic total energy   -4.447 eV/atom
Crystal system   cubic
DOS at the Fermi energy   3.1 states/eV per cell

```
ThZnNiAg
1.0
4.786 0.000 0.000
2.393 4.145 0.000
2.393 1.382 3.908
Ni Zn Ag Th
1 1 1 1
direct
0.500 0.500 0.500
0.000 0.000 0.000
0.250 0.250 0.250
0.750 0.750 0.750
```

Entry 25:
TiNiAg after structural relaxation. Source: Alexandria, functional PBE.

Computed properties:
Electronic total energy   -5.443 eV/atom
Crystal system   trigonal
DOS at the Fermi energy   5.8 states/eV per cell

```
TiNiAg
1.0
4.184 0.000 0.000
2.092 3.624 0.000
2.092 1.208 6.746
Ni Ag Ti
2 2 2
direct
0.263 0.263 0.212
0.737 0.737 0.788
0.128 0.128 0.616
0.872 0.872 0.384
0.380 0.380 0.861
0.620 0.620 0.139
```

Entry 26:
TiNi3Ag after structural relaxation. Source: Alexandria, functional PBE.

Computed properties:
Electronic total energy   -4.777 eV/atom
Crystal system   cubic
DOS at the Fermi energy   2.6 states/eV per cell

```
TiNi3Ag
1.0
4.337 0.000 0.000
0.000 4.337 0.000
0.000 0.000 4.337
Ni Ag Ti
3 1 1
direct
0.000 0.500 0.000
0.000 0.000 0.500
0.500 0.000 0.000
0.500 0.500 0.500
0.000 0.000 0.000
```

Entry 27:
Ti2NiAg after structural relaxation. Source: Alexandria, functional PBE.

Computed properties:
Electronic total energy   -6.101 eV/atom
Crystal system   cubic
DOS at the Fermi energy   5.0 states/eV per cell

```
Ti2NiAg
1.0
0.000 3.157 3.157
3.157 0.000 3.157
3.157 3.157 0.000
Ni Ag Ti
1 1 2
direct
0.000 0.000 0.000
0.500 0.500 0.500
0.250 0.250 0.250
0.750 0.750 0.750
```

Entry 28:
Ti2Ni2Ag after structural relaxation. Source: Alexandria, functional PBE.

Computed properties:
Electronic total energy   -5.975 eV/atom
Crystal system   tetragonal
DOS at the Fermi energy   5.2 states/eV per cell

```
Ti2Ni2Ag
1.0
3.414 0.000 0.000
0.000 3.414 0.000
1.707 1.707 6.772
Ni Ag Ti
2 1 2
direct
0.750 0.250 0.500
0.250 0.750 0.500
0.000 0.000 0.000
0.382 0.382 0.236
0.618 0.618 0.764
```